# 1
Below is crystalline Cu2Ag3 at its relaxed geometry, with properties calculated at the GGA-PBE level.

As for the energy relative to the elements: 0.092 eV per atom. The calculated volume is 15.6 A^3/atom. The relative energy among the computed polymorphs is 0.060 eV/atom.

The structure belongs to space group Cm (No. 8); the cell edges are 8.983, 3.895 and 8.907 Å and the angles 90.00°, 90.45° and 90.00°. The inequivalent atoms are Cu at (0.000, 0.000, 0.000), Cu at (0.090, 0.500, 0.180), Cu at (0.294, 0.500, 0.572), Cu at (0.397, 0.500, 0.274), Ag at (0.095, 0.000, 0.679), Ag at (0.190, 0.500, 0.891), Ag at (0.191, 0.000, 0.374), Ag at (0.303, 0.000, 0.088), Ag at (0.393, 0.000, 0.781) and Ag at (0.487, 0.000, 0.471).

***

# 2
Below is crystalline DySnTe3Au at its relaxed geometry, with properties calculated at the GGA-PBE level.

The calculated volume is 29.3 A^3/atom. The relative energy among the computed polymorphs is 0.001 eV/atom.

The structure belongs to space group Cmcm (No. 63); the cell edges are 4.268, 14.822 and 11.102 Å and the angles 90.00°, 90.00° and 90.00°. The inequivalent atoms are Dy at (0.000, 0.000, 0.000), Sn at (0.000, 0.222, 0.250), Te at (0.000, 0.096, 0.750), Te at (0.000, 0.352, 0.555) and Au at (0.000, 0.471, 0.750).

***

# 3
Below is crystalline TlAgWS3 at its relaxed geometry, with properties calculated at the GGA-PBE level.

Its raw total energy is -127.4 eV for the cell shown. The calculated volume is 22.1 A^3/atom.

The structure belongs to space group Cmcm (No. 63); the cell edges are 3.349, 16.896 and 9.388 Å and the angles 90.00°, 90.00° and 90.00°. The inequivalent atoms are Tl at (0.000, 0.175, 0.250), Ag at (0.000, 0.182, 0.750), W at (0.000, 0.500, 0.000), S at (0.000, 0.102, 0.532) and S at (0.000, 0.469, 0.750).

***

# 4
Below is crystalline CuTcGeW at its relaxed geometry, with properties calculated at the GGA-PBE level.

The calculated volume is 14.1 A^3/atom. The relative energy among the computed polymorphs is 0.069 eV/atom.

The structure belongs to space group F-43m (No. 216); the cell edges are 6.091, 6.091 and 6.091 Å and the angles 90.00°, 90.00° and 90.00°. The inequivalent atoms are Cu at (0.000, 0.000, 0.000), Tc at (0.250, 0.250, 0.250), Ge at (0.000, 0.000, 0.500) and W at (0.250, 0.250, 0.750).

***

# 5
Below is crystalline ReOs3 at its relaxed geometry, with properties calculated at the GGA-PBE level.

As for the energy relative to the elements: -0.080 eV per atom. The calculated volume is 14.4 A^3/atom.

The structure belongs to space group P6_3/mmc (No. 194); the cell edges are 5.5192, 5.5192 and 4.3568 Å and the angles 90.00°, 90.00° and 120.00°. The inequivalent atoms are Re at (0.3333, 0.6667, 0.2500) and Os at (0.1673, 0.3346, 0.7500).

***

# 6
Below is crystalline Nb2ReAg at its relaxed geometry, with properties calculated at the GGA-PBE level.

As for the energy relative to the elements: 0.394 eV per atom. The calculated volume is 17.0 A^3/atom.

The structure belongs to space group F-43m (No. 216); the cell edges are 6.474, 6.474 and 6.474 Å and the angles 90.00°, 90.00° and 90.00°. The inequivalent atoms are Nb at (0.000, 0.000, 0.000), Nb at (0.250, 0.250, 0.250), Re at (0.000, 0.000, 0.500) and Ag at (0.250, 0.250, 0.750).

***

# 7
Below is crystalline Li3AgO3 at its relaxed geometry, with properties calculated at the GGA-PBE level.

Its raw total energy is -130.0 eV for the cell shown. The calculated volume is 10.5 A^3/atom.

The structure belongs to space group P4_2/mnm (No. 136); the cell edges are 9.128, 9.128 and 3.514 Å and the angles 90.00°, 90.00° and 90.00°. The inequivalent atoms are Li at (0.091, 0.357, 0.000), Li at (0.169, 0.169, 0.500), Ag at (0.117, 0.883, 0.000), O at (0.109, 0.109, 0.000) and O at (0.118, 0.663, 0.000).

***

# 8
Below is crystalline Be2Fe2Si2IrOs at its relaxed geometry, with properties calculated at the GGA-PBE level.

Its raw total energy is -58.7 eV for the cell shown. The calculated volume is 10.9 A^3/atom.

The structure belongs to space group P-4m2 (No. 115); the cell edges are 3.957, 3.957 and 5.592 Å and the angles 90.00°, 90.00° and 90.00°. The inequivalent atoms are Be at (0.000, 0.500, 0.249), Fe at (0.000, 0.000, 0.500), Fe at (0.500, 0.500, 0.000), Si at (0.000, 0.500, 0.752), Ir at (0.500, 0.500, 0.500) and Os at (0.000, 0.000, 0.000).

***

Look up the calculated volume of the first one. 15.6 A^3/atom